{"formula": "BaHSeN2", "functional": "PBE-GGA", "state": "relaxed", "lattice_angstrom": [[-3.377, 0.516, 4.390], [3.720, -2.653, 3.173], [2.809, 5.718, 1.489]], "species": ["N", "Ba", "N", "H", "Se"], "fractional_positions": [[0.000, 0.500, 0.000], [0.000, 0.000, 0.000], [0.500, 0.000, 0.000], [0.500, 0.500, 0.500], [0.000, 0.000, 0.500]], "space_group": "P4/mmm (123)", "polymorph_energy_ev_per_atom": 0.7207, "n_ef_per_ev_cell": 4.12, "crystal_system": "tetragonal"}

=====

{"formula": "BaHSe2N", "functional": "PBE-GGA", "state": "relaxed", "lattice_angstrom": [[4.060, 0.000, 0.000], [0.000, 4.060, 0.000], [0.000, 0.000, 6.062]], "species": ["Se", "N", "H", "Ba", "Se"], "fractional_positions": [[0.500, 0.000, 0.000], [0.000, 0.000, 0.500], [0.000, 0.000, 0.000], [0.500, 0.500, 0.500], [0.000, 0.500, 0.000]], "space_group": "P4/mmm (123)", "polymorph_energy_ev_per_atom": 0.0000, "n_ef_per_ev_cell": 0.72, "crystal_system": "tetragonal"}